Material: Cs3Ho2NpTe6
Method: DFT, PBE
State: relaxed

CIF file:
```
data_Cs3Ho2NpTe6
_cell_length_a 7.923
_cell_length_b 13.742
_cell_length_c 9.297
_cell_angle_alpha 90.00
_cell_angle_beta 106.54
_cell_angle_gamma 90.00
_space_group_name_H-M_alt 'C 1 2/m 1'
_space_group_IT_number 12
_space_group_name_Hall '-C 2y'
loop_
_atom_site_label
_atom_site_fract_x
_atom_site_fract_y
_atom_site_fract_z
Cs1 0.000 0.000 0.000
Cs2 0.000 0.335 0.000
Ho1 0.000 0.167 0.500
Np1 0.000 0.500 0.500
Te1 0.224 0.000 0.689
Te2 0.232 0.331 0.690
```

Computed properties:
The value obtained for the total DFT energy (no corrections) is -4.83 eV per atom. As for the total moment: 4.00 μB/f.u.